PBE-GGA TlZnP, relaxed; ΔE_f = 16 kJ/mol of atoms; symmetry = Cmcm
1.0
1.890 -5.952 0.000
1.890 5.952 0.000
0.000 0.000 5.765
Tl Zn P
2 2 2
Cartesian
1.890 3.452 4.324
1.890 -3.452 1.441
1.890 5.097 1.441
1.890 -5.097 4.324
1.890 0.000 0.000
1.890 0.000 2.882

***

PBE-GGA CaCdMo2, relaxed; ΔE_f = 58 kJ/mol of atoms; symmetry = P2/m
1.0
2.807 0.000 0.000
0.000 5.199 0.000
-0.687 0.000 5.350
Ca Cd Mo
1 1 2
Cartesian
0.000 0.000 0.000
1.060 0.000 2.675
0.407 2.599 4.113
1.714 2.599 1.237

***

PBE-GGA AsOsCl2, relaxed; symmetry = Cm; E_form (uncorrected) = -0.074 eV/atom
1.0
3.016 -1.891 0.000
3.016 1.891 0.000
-0.222 0.000 8.377
As Os Cl
1 1 2
Cartesian
0.000 0.000 0.000
1.895 0.000 7.191
0.047 0.000 2.182
3.993 0.000 5.639

***

PBE-GGA Ta2Co2Ge, relaxed; ΔE_f = -17 kJ/mol of atoms; symmetry = P4/mbm
1.0
6.743 0.000 0.000
0.000 6.743 0.000
0.000 0.000 3.181
Ta Co Ge
4 4 2
Cartesian
1.156 2.216 0.000
2.216 5.587 0.000
4.527 1.156 0.000
5.587 4.527 0.000
0.867 4.238 1.590
2.505 0.867 1.590
4.238 5.876 1.590
5.876 2.505 1.590
0.000 0.000 1.590
3.372 3.372 1.590

***

Electronic total energy list, top to bottom, in eV for the cell shown: -17.074; -22.159; -19.870; -86.839
Density of states at the Fermi level list, top to bottom, in states/eV/cell: 2.57; 3.29; 2.06; 5.67
M_tot list, top to bottom, in μB/f.u.: 0.00; 0.00; 1.02; 0.00